(1)
Material: HfTc3S
Method: DFT, GGA-PBE
State: relaxed

a = 4.361 Å, b = 4.361 Å, c = 4.361 Å
α = 90.00°, β = 90.00°, γ = 90.00°
Space group Pm-3m (No. 221)
Unique sites:
Hf 0.000 0.000 0.000
Tc 0.000 0.500 0.500
S 0.500 0.500 0.500

## Properties
E_form (uncorrected) (eV/f.u.): -0.023
Total moment (μB/cell): 0.00
Density (g cm⁻³): 10.10
E above lowest polymorph (meV/atom): 0.0

=====

(2)
Material: Hf2TcS
Method: DFT, GGA-PBE
State: relaxed

a = 3.3356 Å, b = 3.3356 Å, c = 22.7278 Å
α = 90.00°, β = 90.00°, γ = 120.00°
Space group R3m (No. 160, hexagonal axes)
Unique sites:
Hf 0.0000 0.0000 0.0000
Hf 0.0000 0.0000 0.1716
Tc 0.0000 0.0000 0.4182
S 0.0000 0.0000 0.5870

## Properties
E_form (uncorrected) (eV/f.u.): -2.761
Total moment (μB/cell): 0.00
Density (g cm⁻³): 11.08

=====

(3)
Material: Hf3TcS
Method: DFT, GGA-PBE
State: relaxed

a = 4.686 Å, b = 4.686 Å, c = 4.686 Å
α = 90.00°, β = 90.00°, γ = 90.00°
Space group Pm-3m (No. 221)
Unique sites:
Hf 0.000 0.000 0.500
Tc 0.500 0.500 0.500
S 0.000 0.000 0.000

## Properties
E_form (uncorrected) (eV/f.u.): -0.334
Total moment (μB/cell): 1.35
Density (g cm⁻³): 10.74
E above lowest polymorph (meV/atom): 627.1

=====

(4)
Material: Hf2TcS
Method: DFT, GGA-PBE
State: relaxed

a = 5.746 Å, b = 5.746 Å, c = 12.079 Å
α = 90.00°, β = 90.00°, γ = 90.00°
Space group I-42d (No. 122)
Unique sites:
Hf 0.244 0.250 0.125
Tc 0.000 0.000 0.000
S 0.000 0.000 0.500

## Properties
E_form (uncorrected) (eV/f.u.): 0.690
Total moment (μB/cell): 0.00
Density (g cm⁻³): 8.11

=====

(5)
Material: HfTiTc2S
Method: DFT, GGA-PBE
State: relaxed

a = 4.422 Å, b = 4.422 Å, c = 4.370 Å
α = 90.00°, β = 90.00°, γ = 90.00°
Space group P4/mmm (No. 123)
Unique sites:
Hf 0.000 0.000 0.000
Ti 0.500 0.500 0.000
Tc 0.000 0.500 0.500
S 0.500 0.500 0.500

## Properties
E_form (uncorrected) (eV/f.u.): -0.686
Total moment (μB/cell): 0.00
Density (g cm⁻³): 8.83

=====

(6)
Material: HfTlTcS2
Method: DFT, GGA-PBE
State: relaxed

a = 4.944 Å, b = 4.944 Å, c = 5.320 Å
α = 90.00°, β = 90.00°, γ = 90.00°
Space group P4/mmm (No. 123)
Unique sites:
Hf 0.000 0.000 0.000
Tl 0.500 0.500 0.500
Tc 0.000 0.000 0.500
S 0.000 0.500 0.000

## Properties
E_form (uncorrected) (eV/f.u.): 1.072
Total moment (μB/cell): 3.77
Density (g cm⁻³): 6.96

=====

(7)
Material: HfZnTc2S
Method: DFT, GGA-PBE
State: relaxed

a = 4.837 Å, b = 4.837 Å, c = 5.061 Å
α = 90.00°, β = 90.00°, γ = 90.00°
Space group P4/mmm (No. 123)
Unique sites:
Hf 0.000 0.000 0.000
Zn 0.000 0.000 0.500
Tc 0.000 0.500 0.000
S 0.500 0.500 0.500

## Properties
E_form (uncorrected) (eV/f.u.): 8.530
Total moment (μB/cell): 3.91
Density (g cm⁻³): 6.62

=====

(8)
Material: HfTeS
Method: DFT, GGA-PBE
State: relaxed

a = 4.4102 Å, b = 4.4102 Å, c = 3.9132 Å
α = 90.00°, β = 90.00°, γ = 120.00°
Space group P-6m2 (No. 187)
Unique sites:
Hf 0.0000 0.0000 0.0000
Te 0.6667 0.3333 0.5000
S 0.3333 0.6667 0.0000

## Properties
E_form (uncorrected) (eV/f.u.): -2.536
Total moment (μB/cell): 0.00
Density (g cm⁻³): 8.52
E above lowest polymorph (meV/atom): 350.8

=====

(9)
Material: HfTeS2
Method: DFT, GGA-PBE
State: relaxed

a = 7.120 Å, b = 7.120 Å, c = 10.538 Å
α = 90.00°, β = 90.00°, γ = 90.00°
Space group I-42d (No. 122)
Unique sites:
Hf 0.000 0.000 0.000
Te 0.000 0.000 0.500
S 0.127 0.250 0.125

## Properties
E_form (uncorrected) (eV/f.u.): -1.641
Total moment (μB/cell): 8.00
Density (g cm⁻³): 4.60

=====

(10)
Material: HfTeS3
Method: DFT, GGA-PBE
State: relaxed

a = 4.930 Å, b = 4.930 Å, c = 4.930 Å
α = 90.00°, β = 90.00°, γ = 90.00°
Space group Pm-3m (No. 221)
Unique sites:
Hf 0.000 0.000 0.000
Te 0.500 0.500 0.500
S 0.000 0.000 0.500

## Properties
E_form (uncorrected) (eV/f.u.): -1.767
Total moment (μB/cell): 0.00
Density (g cm⁻³): 5.58
E above lowest polymorph (meV/atom): 466.1

=====

(11)
Material: Hf8TeS2
Method: DFT, GGA-PBE
State: relaxed

a = 13.404 Å, b = 7.457 Å, c = 5.144 Å
α = 90.00°, β = 99.54°, γ = 90.00°
Space group C2/m (No. 12)
Unique sites:
Hf 0.084 0.205 0.227
Hf 0.126 0.000 0.743
Hf 0.219 0.500 0.677
Te 0.000 0.500 0.500
S 0.183 0.500 0.156

## Properties
E_form (uncorrected) (eV/f.u.): -2.705
Total moment (μB/cell): 0.00
Density (g cm⁻³): 10.61

=====

(12)
Material: HfTeS3
Method: DFT, GGA-PBE
State: relaxed

a = 4.956 Å, b = 4.956 Å, c = 4.956 Å
α = 90.00°, β = 90.00°, γ = 90.00°
Space group Pm-3m (No. 221)
Unique sites:
Hf 0.000 0.000 0.000
Te 0.500 0.500 0.500
S 0.000 0.500 0.500

## Properties
E_form (uncorrected) (eV/f.u.): 3.347
Total moment (μB/cell): 1.26
Density (g cm⁻³): 5.49
E above lowest polymorph (meV/atom): 1488.7

=====

(13)
Material: HfTeS2
Method: DFT, GGA-PBE
State: relaxed

a = 3.4638 Å, b = 3.4638 Å, c = 26.7545 Å
α = 90.00°, β = 90.00°, γ = 120.00°
Space group R-3m (No. 166, hexagonal axes)
Unique sites:
Hf 0.0000 0.0000 0.0000
Te 0.0000 0.0000 0.5000
S 0.0000 0.0000 0.0902

## Properties
E_form (uncorrected) (eV/f.u.): 0.647
Total moment (μB/cell): 0.00
Density (g cm⁻³): 6.63

=====

(14)
Material: HfTeS2
Method: DFT, GGA-PBE
State: relaxed

a = 3.618 Å, b = 26.568 Å, c = 4.978 Å
α = 90.00°, β = 90.00°, γ = 90.00°
Space group Cmcm (No. 63)
Unique sites:
Hf 0.000 0.201 0.250
Te 0.000 0.026 0.750
S 0.000 0.224 0.750
S 0.000 0.359 0.750

## Properties
E_form (uncorrected) (eV/f.u.): -4.240
Total moment (μB/cell): 0.00
Density (g cm⁻³): 5.14

=====

(15)
Material: HfTeS3
Method: DFT, GGA-PBE
State: relaxed

a = 24.906 Å, b = 3.902 Å, c = 6.239 Å
α = 90.00°, β = 100.19°, γ = 90.00°
Space group C2/m (No. 12)
Unique sites:
Hf 0.250 0.000 0.250
Te 0.005 0.000 0.254
S 0.054 0.500 0.787
S 0.193 0.000 0.871
S 0.193 0.500 0.371

## Properties
E_form (uncorrected) (eV/f.u.): -4.097
Total moment (μB/cell): 0.00
Density (g cm⁻³): 4.48
E above lowest polymorph (meV/atom): 0.0

=====

(16)
Material: HfTeS
Method: DFT, GGA-PBE
State: relaxed

a = 3.806 Å, b = 5.037 Å, c = 9.470 Å
α = 90.00°, β = 90.00°, γ = 90.00°
Space group Pmmn (No. 59, origin choice 2)
Unique sites:
Hf 0.250 0.250 0.127
Te 0.250 0.750 0.659
S 0.250 0.750 0.069

## Properties
E_form (uncorrected) (eV/f.u.): -3.317
Total moment (μB/cell): 0.00
Density (g cm⁻³): 6.19
E above lowest polymorph (meV/atom): 90.4

=====

(17)
Material: HfTeS
Method: DFT, GGA-PBE
State: relaxed

a = 3.262 Å, b = 3.262 Å, c = 13.910 Å
α = 90.00°, β = 90.00°, γ = 90.00°
Space group I4mm (No. 107)
Unique sites:
Hf 0.000 0.000 0.000
Te 0.000 0.000 0.346
S 0.000 0.000 0.592

## Properties
E_form (uncorrected) (eV/f.u.): -2.675
Total moment (μB/cell): 0.00
Density (g cm⁻³): 7.59
E above lowest polymorph (meV/atom): 304.4

=====

(18)
Material: Hf6TeS
Method: DFT, GGA-PBE
State: relaxed

a = 6.2032 Å, b = 6.2032 Å, c = 16.8263 Å
α = 90.00°, β = 90.00°, γ = 120.00°
Space group R-3 (No. 148, hexagonal axes)
Unique sites:
Hf 0.0159 0.2975 0.2395
Te 0.0000 0.0000 0.0000
S 0.0000 0.0000 0.5000

## Properties
E_form (uncorrected) (eV/f.u.): -1.368
Total moment (μB/cell): 0.00
Density (g cm⁻³): 10.93

=====

(19)
Material: HfTeS
Method: DFT, GGA-PBE
State: relaxed

a = 14.494 Å, b = 3.802 Å, c = 6.568 Å
α = 90.00°, β = 90.00°, γ = 90.00°
Space group Aem2 (No. 39)
Unique sites:
Hf 0.223 0.250 0.000
Te 0.355 0.250 0.334
S 0.134 0.250 0.667

## Properties
E_form (uncorrected) (eV/f.u.): -3.587
Total moment (μB/cell): 0.00
Density (g cm⁻³): 6.21
E above lowest polymorph (meV/atom): 0.4

=====

(20)
Material: HfTeS2
Method: DFT, GGA-PBE
State: relaxed

a = 3.5235 Å, b = 3.5235 Å, c = 34.5334 Å
α = 90.00°, β = 90.00°, γ = 120.00°
Space group R-3m (No. 166, hexagonal axes)
Unique sites:
Hf 0.0000 0.0000 0.0000
Te 0.0000 0.0000 0.5000
S 0.0000 0.0000 0.3768

## Properties
E_form (uncorrected) (eV/f.u.): -3.900
Total moment (μB/cell): 1.01
Density (g cm⁻³): 4.97